1.
# Nd2Co3P4Ir PBE-GGA relaxed
data_Nd2Co3P4Ir
_cell_length_a 4.017
_cell_length_b 4.017
_cell_length_c 9.332
_cell_angle_alpha 90.00
_cell_angle_beta 90.00
_cell_angle_gamma 90.00
_space_group_name_H-M_alt 'P -4 m 2'
_space_group_IT_number 115
loop_
_space_group_symop_operation_xyz
'x,y,z'
'y,-x,-z'
'-x,-y,z'
'-y,x,-z'
'-x,y,z'
'-y,-x,-z'
'x,-y,z'
'y,x,-z'
loop_
_atom_site_label
_atom_site_type_symbol
_atom_site_fract_x
_atom_site_fract_y
_atom_site_fract_z
Nd1 Nd 0.000 0.500 0.238
Co1 Co 0.000 0.500 0.891
Co2 Co 0.500 0.500 0.500
P1 P 0.000 0.000 0.000
P2 P 0.000 0.500 0.643
P3 P 0.500 0.500 0.000
Ir1 Ir 0.000 0.000 0.500
# **DFT formation energy**: -9.84 eV per formula unit
# **DOS(E_F)**: 4.2 states/eV/f.u.

***

2.
# NdPuCoIr PBE-GGA relaxed
data_NdPuCoIr
_cell_length_a 6.909
_cell_length_b 6.909
_cell_length_c 6.909
_cell_angle_alpha 90.00
_cell_angle_beta 90.00
_cell_angle_gamma 90.00
_space_group_name_H-M_alt 'F -4 3 m'
_space_group_IT_number 216
_space_group_name_Hall 'F -4 2 3'
loop_
_atom_site_label
_atom_site_type_symbol
_atom_site_fract_x
_atom_site_fract_y
_atom_site_fract_z
Nd1 Nd 0.000 0.000 0.000
Pu1 Pu 0.000 0.000 0.500
Co1 Co 0.250 0.250 0.750
Ir1 Ir 0.250 0.250 0.250
# **DFT formation energy**: -0.81 eV per formula unit
# **DOS(E_F)**: 8.2 states/eV/f.u.

***

3.
# NdScCoIr PBE-GGA relaxed
data_NdScCoIr
_cell_length_a 6.726
_cell_length_b 6.726
_cell_length_c 6.726
_cell_angle_alpha 90.00
_cell_angle_beta 90.00
_cell_angle_gamma 90.00
_space_group_name_H-M_alt 'F -4 3 m'
_space_group_IT_number 216
_space_group_name_Hall 'F -4 2 3'
loop_
_atom_site_label
_atom_site_type_symbol
_atom_site_fract_x
_atom_site_fract_y
_atom_site_fract_z
Nd1 Nd 0.000 0.000 0.000
Sc1 Sc 0.000 0.000 0.500
Co1 Co 0.250 0.250 0.750
Ir1 Ir 0.250 0.250 0.250
# **DFT formation energy**: -1.60 eV per formula unit
# **DOS(E_F)**: 0.9 states/eV/f.u.

***

4.
# Nd2CoSi3Ir4 PBE-GGA relaxed
data_Nd2CoSi3Ir4
_cell_length_a 4.154
_cell_length_b 4.154
_cell_length_c 10.031
_cell_angle_alpha 90.00
_cell_angle_beta 90.00
_cell_angle_gamma 90.00
_space_group_name_H-M_alt 'P -4 m 2'
_space_group_IT_number 115
loop_
_space_group_symop_operation_xyz
'x,y,z'
'y,-x,-z'
'-x,-y,z'
'-y,x,-z'
'-x,y,z'
'-y,-x,-z'
'x,-y,z'
'y,x,-z'
loop_
_atom_site_label
_atom_site_type_symbol
_atom_site_fract_x
_atom_site_fract_y
_atom_site_fract_z
Nd1 Nd 0.000 0.500 0.246
Co1 Co 0.500 0.500 0.000
Si1 Si 0.000 0.000 0.000
Si2 Si 0.000 0.500 0.629
Ir1 Ir 0.000 0.000 0.500
Ir2 Ir 0.000 0.500 0.870
Ir3 Ir 0.500 0.500 0.500
# **DOS(E_F)**: 6.4 states/eV/f.u.
# **Formation energy without anion corrections**: -0.8756 eV/atom

***

5.
# Nd2CoSi4Ir3 PBE-GGA relaxed
data_Nd2CoSi4Ir3
_cell_length_a 4.156
_cell_length_b 4.156
_cell_length_c 9.889
_cell_angle_alpha 90.00
_cell_angle_beta 90.00
_cell_angle_gamma 90.00
_space_group_name_H-M_alt 'P -4 m 2'
_space_group_IT_number 115
loop_
_space_group_symop_operation_xyz
'x,y,z'
'y,-x,-z'
'-x,-y,z'
'-y,x,-z'
'-x,y,z'
'-y,-x,-z'
'x,-y,z'
'y,x,-z'
loop_
_atom_site_label
_atom_site_type_symbol
_atom_site_fract_x
_atom_site_fract_y
_atom_site_fract_z
Nd1 Nd 0.000 0.500 0.248
Co1 Co 0.000 0.000 0.500
Si1 Si 0.000 0.000 0.000
Si2 Si 0.000 0.500 0.625
Si3 Si 0.500 0.500 0.000
Ir1 Ir 0.000 0.500 0.872
Ir2 Ir 0.500 0.500 0.500
# **DOS(E_F)**: 6.2 states/eV/f.u.
# **Formation energy without anion corrections**: -0.9332 eV/atom

***

6.
# NdSmCoIr PBE-GGA relaxed
data_NdSmCoIr
_cell_length_a 6.990
_cell_length_b 6.990
_cell_length_c 6.990
_cell_angle_alpha 90.00
_cell_angle_beta 90.00
_cell_angle_gamma 90.00
_space_group_name_H-M_alt 'F -4 3 m'
_space_group_IT_number 216
_space_group_name_Hall 'F -4 2 3'
loop_
_atom_site_label
_atom_site_type_symbol
_atom_site_fract_x
_atom_site_fract_y
_atom_site_fract_z
Nd1 Nd 0.000 0.000 0.000
Sm1 Sm 0.000 0.000 0.500
Co1 Co 0.250 0.250 0.750
Ir1 Ir 0.250 0.250 0.250
# **DFT formation energy**: -1.25 eV per formula unit
# **DOS(E_F)**: 1.0 states/eV/f.u.

***

7.
# NdTaCoIr2 PBE-GGA relaxed
data_NdTaCoIr2
_cell_length_a 4.063
_cell_length_b 4.063
_cell_length_c 11.549
_cell_angle_alpha 90.00
_cell_angle_beta 90.00
_cell_angle_gamma 90.00
_space_group_name_H-M_alt 'I -4 m 2'
_space_group_IT_number 119
_space_group_name_Hall 'I -4 -2'
loop_
_atom_site_label
_atom_site_type_symbol
_atom_site_fract_x
_atom_site_fract_y
_atom_site_fract_z
Nd1 Nd 0.000 0.000 0.000
Ta1 Ta 0.000 0.500 0.750
Co1 Co 0.000 0.500 0.250
Ir1 Ir 0.000 0.000 0.387
# **DFT formation energy**: -1.81 eV per formula unit
# **DOS(E_F)**: 5.2 states/eV/f.u.

***

8.
# NdTmCoIr PBE-GGA relaxed
data_NdTmCoIr
_cell_length_a 6.867
_cell_length_b 6.867
_cell_length_c 6.867
_cell_angle_alpha 90.00
_cell_angle_beta 90.00
_cell_angle_gamma 90.00
_space_group_name_H-M_alt 'F -4 3 m'
_space_group_IT_number 216
_space_group_name_Hall 'F -4 2 3'
loop_
_atom_site_label
_atom_site_type_symbol
_atom_site_fract_x
_atom_site_fract_y
_atom_site_fract_z
Nd1 Nd 0.000 0.000 0.000
Tm1 Tm 0.000 0.000 0.500
Co1 Co 0.250 0.250 0.250
Ir1 Ir 0.250 0.250 0.750
# **DFT formation energy**: -1.64 eV per formula unit
# **DOS(E_F)**: 1.1 states/eV/f.u.

***

DOS(E_F) of number 1 (Nd2Co3P4Ir)?
4.2 states/eV/f.u.

***

What did the second record say?
# NdPuCoIr PBE-GGA relaxed
data_NdPuCoIr
_cell_length_a 6.909
_cell_length_b 6.909
_cell_length_c 6.909
_cell_angle_alpha 90.00
_cell_angle_beta 90.00
_cell_angle_gamma 90.00
_space_group_name_H-M_alt 'F -4 3 m'
_space_group_IT_number 216
_space_group_name_Hall 'F -4 2 3'
loop_
_atom_site_label
_atom_site_type_symbol
_atom_site_fract_x
_atom_site_fract_y
_atom_site_fract_z
Nd1 Nd 0.000 0.000 0.000
Pu1 Pu 0.000 0.000 0.500
Co1 Co 0.250 0.250 0.750
Ir1 Ir 0.250 0.250 0.250
# **DFT formation energy**: -0.81 eV per formula unit
# **DOS(E_F)**: 8.2 states/eV/f.u.